The following is a DFT calculation (PBE) of crystalline ScTlBi2Cl at its relaxed geometry.

Cell: 5.8748 5.8748 4.6688 Å, 90.00 90.00 90.00°
With the nearest neighbours (Å) after each atom.
Space group P4/mmm (No. 123)
Asymmetric unit:
Sc (0.0000, 0.0000, 0.0000)  2 Cl 2.33
Tl (0.5000, 0.5000, 0.0000)  8 Bi 3.75, 4 Sc 4.15
Bi (0.0000, 0.5000, 0.5000)  2 Cl 2.94
Cl (0.0000, 0.0000, 0.5000)  2 Sc 2.33

Summary:
V, Å³ per atom: 32.2
Formation energy from raw total energies, eV per atom: 0.052
Total moment, μB/atom: 0.00

***

The following is a DFT calculation (PBE) of crystalline MnCuHPd2 at its relaxed geometry.

Cell: 4.8785 4.8785 2.9311 Å, 90.00 90.00 90.00°
With the nearest neighbours (Å) after each atom.
Space group P4/mmm (No. 123)
Asymmetric unit:
Mn (0.0000, 0.0000, 0.0000)  8 Pd 2.85, 2 Mn 2.93
Cu (0.5000, 0.5000, 0.5000)  2 H 1.47
H (0.5000, 0.5000, 0.0000)  2 Cu 1.47
Pd (0.0000, 0.5000, 0.5000)  2 Cu 2.44

Summary:
V, Å³ per atom: 14.0
Total moment, μB/atom: 0.92
ΔE to the lowest computed polymorph, kJ/mol of formula units: 228

***

The following is a DFT calculation (PBE) of crystalline LiTlCoC2 at its relaxed geometry.

Cell: 4.3672 4.3672 4.6882 Å, 90.00 90.00 90.00°
With the nearest neighbours (Å) after each atom.
Space group P4/mmm (No. 123)
Asymmetric unit:
Li (0.0000, 0.0000, 0.0000)  2 Tl 2.34
Tl (0.0000, 0.0000, 0.5000)  4 C 2.18, 2 Li 2.34
Co (0.5000, 0.5000, 0.0000)  4 Li 3.09, 8 C 3.20
C (0.0000, 0.5000, 0.5000)  2 Tl 2.18

Summary:
V, Å³ per atom: 17.9
Total moment, μB/atom: 0.41
Formation energy from the elements, eV per atom: 2.744
ΔE to the lowest computed polymorph, kJ/mol of formula units: 36

***

The following is a DFT calculation (PBE) of crystalline LiCa3Ti at its relaxed geometry.

Cell: 5.9652 5.9652 5.9652 Å, 90.00 90.00 90.00°
With the nearest neighbours (Å) after each atom.
Space group Pm-3m (No. 221)
Asymmetric unit:
Li (0.0000, 0.0000, 0.0000)  12 Ca 4.22
Ca (0.0000, 0.5000, 0.5000)  2 Ti 2.98
Ti (0.5000, 0.5000, 0.5000)  6 Ca 2.98

Summary:
V, Å³ per atom: 42.5
Total moment, μB/atom: 0.79
Formation energy from the elements, eV per atom: 0.702
ΔE to the lowest computed polymorph, kJ/mol of formula units: 0

***

The following is a DFT calculation (PBE) of crystalline LiPmSn6 at its relaxed geometry.

Cell: 4.6761 4.6761 9.4763 Å, 90.00 90.00 90.00°
With the nearest neighbours (Å) after each atom.
Space group P4/mmm (No. 123)
Asymmetric unit:
Li (0.0000, 0.0000, 0.0000)  12 Sn 3.26-3.31
Pm (0.0000, 0.0000, 0.5000)  12 Sn 3.31-3.40
Sn (0.0000, 0.5000, 0.2394)  8 Sn 3.26-3.40, 2 Li 3.26, 2 Pm 3.40
Sn (0.5000, 0.5000, 0.0000)  8 Sn 3.26, 4 Li 3.31
Sn (0.5000, 0.5000, 0.5000)  4 Pm 3.31, 8 Sn 3.40

Summary:
V, Å³ per atom: 25.9
Total moment, μB/atom: 0.00
Formation energy from the elements, eV per atom: -0.311

***

The following is a DFT calculation (PBE) of crystalline Nd2ZnIr at its relaxed geometry.

Cell: 3.6273 3.6273 7.2332 Å, 90.00 90.00 90.00°
With the nearest neighbours (Å) after each atom.
Space group P4/mmm (No. 123)
Asymmetric unit:
Nd (0.0000, 0.0000, 0.2336)  4 Ir 3.07, 4 Zn 3.21, 1 Nd 3.38
Zn (0.5000, 0.5000, 0.5000)  8 Nd 3.21
Ir (0.5000, 0.5000, 0.0000)  8 Nd 3.07

Summary:
V, Å³ per atom: 23.8
Total moment, μB/atom: 0.00
Formation energy from the elements, eV per atom: -0.453
ΔE to the lowest computed polymorph, kJ/mol of formula units: 34

***

> The highest V belongs to which entry?

LiCa3Ti

***

> Which formula does entry 3 have?

LiTlCoC2